Entry 1:
This record from Alexandria via LeMat-Bulk describes a geometry-optimized TmPaCdO6 structure. The functional is GGA-PBE.

Values from the calculation:
SG   No. 149
Calculated density   7.580 Mg/m³

a = 4.841 Å, b = 5.638 Å, c = 5.638 Å
α = 120.00°, β = 90.00°, γ = 90.00°
Element x y z (fractional)
1 O 0.254 0.019 0.674
2 O 0.746 0.019 0.345
3 O 0.254 0.655 0.981
4 O 0.746 0.655 0.674
5 O 0.746 0.326 0.981
6 O 0.254 0.326 0.345
7 Tm 0.500 0.000 0.000
8 Pa 0.000 0.333 0.667
9 Cd 0.500 0.667 0.333

Entry 2:
This record from Alexandria via LeMat-Bulk describes a geometry-optimized TmPa2CdO8 structure. The functional is GGA-PBE.

Values from the calculation:
SG   No. 119
Calculated density   9.232 Mg/m³

a = 5.394 Å, b = 5.394 Å, c = 6.600 Å
α = 114.12°, β = 114.12°, γ = 90.00°
Element x y z (fractional)
1 Cd 0.750 0.250 0.500
2 Tm 0.000 0.000 0.000
3 Pa 0.250 0.750 0.500
4 Pa 0.500 0.500 0.000
5 O 0.878 0.385 0.245
6 O 0.878 0.860 0.245
7 O 0.366 0.385 0.245
8 O 0.366 0.860 0.245
9 O 0.140 0.634 0.755
10 O 0.615 0.634 0.755
11 O 0.140 0.122 0.755
12 O 0.615 0.122 0.755

Raw formation energy for every record listed, in sequence, given in meV per atom: -2386, -3015.